[1]
## ZrNbGaC (PBE)

Data for a relaxed structure of ZrNbGaC.

abc: 3.228 3.228 13.981
angles: 90.00 90.00 120.00
Atoms (fractional coordinates):
1 Zr 0.000 0.000 0.164
2 Zr 0.000 0.000 0.836
3 Nb 0.667 0.333 0.345
4 Nb 0.667 0.333 0.655
5 Ga 0.000 0.000 0.500
6 Ga 0.667 0.333 0.000
7 C 0.333 0.667 0.258
8 C 0.333 0.667 0.742

Space-group type: P-6m2, No. 187
Electronic total energy, eV/atom: -8.3508

[2]
## Nd3GaC (PBE)

Data for a relaxed structure of Nd3GaC.

abc: 6.804 6.804 10.240
angles: 90.00 90.00 148.06
Atoms (fractional coordinates):
1 Nd 0.051 0.949 0.750
2 Nd 0.371 0.629 0.545
3 Nd 0.371 0.629 0.955
4 Nd 0.629 0.371 0.045
5 Nd 0.629 0.371 0.455
6 Nd 0.949 0.051 0.250
7 Ga 0.251 0.749 0.250
8 Ga 0.749 0.251 0.750
9 C 0.000 0.000 0.000
10 C 0.000 0.000 0.500

Space-group type: Cmcm, No. 63
Electronic total energy, eV/atom: -5.5816
Relative energy among the computed polymorphs, eV/f.u.: 0.000

[3]
## Nd3GaC (PBE)

Data for a relaxed structure of Nd3GaC.

abc: 5.068 5.068 5.068
angles: 90.00 90.00 90.00
Atoms (fractional coordinates):
1 Nd 0.000 0.000 0.500
2 Nd 0.000 0.500 0.000
3 Nd 0.500 0.000 0.000
4 Ga 0.500 0.500 0.500
5 C 0.000 0.000 0.000

Space-group type: Pm-3m, No. 221
Electronic total energy, eV/atom: -5.5585
Relative energy among the computed polymorphs, eV/f.u.: 0.116

[4]
## Sc4GaNiC2 (PBE)

Data for a relaxed structure of Sc4GaNiC2.

abc: 3.309 3.309 13.686
angles: 90.00 90.00 120.00
Atoms (fractional coordinates):
1 Sc 0.000 0.000 0.144
2 Sc 0.000 0.000 0.856
3 Sc 0.667 0.333 0.325
4 Sc 0.667 0.333 0.675
5 Ga 0.000 0.000 0.500
6 Ni 0.667 0.333 0.000
7 C 0.333 0.667 0.234
8 C 0.333 0.667 0.766

Space-group type: P-6m2, No. 187
Electronic total energy, eV/atom: -6.9759

[5]
## Ta4GaNiC2 (PBE)

Data for a relaxed structure of Ta4GaNiC2.

abc: 3.111 3.111 13.301
angles: 90.00 90.00 120.00
Atoms (fractional coordinates):
1 Ta 0.000 0.000 0.149
2 Ta 0.000 0.000 0.851
3 Ta 0.333 0.667 0.336
4 Ta 0.333 0.667 0.664
5 Ga 0.000 0.000 0.500
6 Ni 0.333 0.667 0.000
7 C 0.667 0.333 0.242
8 C 0.667 0.333 0.758

Space-group type: P-6m2, No. 187
Electronic total energy, eV/atom: -9.7582

[6]
## Y4GaNiC2 (PBE)

Data for a relaxed structure of Y4GaNiC2.

abc: 3.607 3.607 14.408
angles: 90.00 90.00 120.00
Atoms (fractional coordinates):
1 Y 0.000 0.000 0.139
2 Y 0.000 0.000 0.861
3 Y 0.667 0.333 0.328
4 Y 0.667 0.333 0.672
5 Ga 0.000 0.000 0.500
6 Ni 0.667 0.333 0.000
7 C 0.333 0.667 0.235
8 C 0.333 0.667 0.765

Space-group type: P-6m2, No. 187
Electronic total energy, eV/atom: -6.8742

[7]
## Y4GaNiC2 (PBE)

Data for a relaxed structure of Y4GaNiC2.

abc: 3.612 3.612 14.403
angles: 90.00 90.00 120.00
Atoms (fractional coordinates):
1 Y 0.000 0.000 0.138
2 Y 0.000 0.000 0.862
3 Y 0.333 0.667 0.327
4 Y 0.333 0.667 0.673
5 Ga 0.000 0.000 0.500
6 Ni 0.333 0.667 0.000
7 C 0.667 0.333 0.234
8 C 0.667 0.333 0.766

Space-group type: P-6m2, No. 187
Electronic total energy, eV/atom: -6.8747

[8]
## GaPW4C2 (PBE)

Data for a relaxed structure of GaPW4C2.

abc: 3.148 3.148 12.332
angles: 90.00 90.00 120.00
Atoms (fractional coordinates):
1 Ga 0.000 0.000 0.000
2 P 0.667 0.333 0.500
3 W 0.000 0.000 0.357
4 W 0.000 0.000 0.643
5 W 0.667 0.333 0.172
6 W 0.667 0.333 0.828
7 C 0.333 0.667 0.259
8 C 0.333 0.667 0.741

Space-group type: P-6m2, No. 187
Electronic total energy, eV/atom: -9.7696

Q: Which of these has the highest electronic total energy?
A: number 3

Q: Number 4 is which compound?
A: Sc4GaNiC2

Q: What is the electronic total energy in the third record?
A: -5.5585 eV/atom

Q: The lowest electronic total energy belongs to which entry?
A: GaPW4C2